1.
## BaIrPb (PBE)

Data for a relaxed structure of BaIrPb. Values from VASP.

Summary:
magnetic moment = 0.00 μB per atom
total DFT energy (no corrections) = -11.780 eV for the cell shown

Geometry as Quantum ESPRESSO input:
```
&SYSTEM
  ibrav = 0, nat = 3, ntyp = 3
/
ATOMIC_SPECIES
Ba 137.33 Ba.upf
Ir 192.22 Ir.upf
Pb 207.20 Pb.upf
ATOMIC_POSITIONS angstrom
Ba 0.0000 0.0000 0.0000
Ir 5.5391 5.5391 5.5391
Pb 1.8464 1.8464 1.8464
CELL_PARAMETERS angstrom
0.0000 3.6928 3.6928
3.6928 0.0000 3.6928
3.6928 3.6928 0.0000
```

---

2.
## GdTmNO (PBE)

Data for a relaxed structure of GdTmNO. Values from VASP.

Summary:
magnetic moment = 0.01 μB per atom
total DFT energy (no corrections) = -62.803 eV for the cell shown
excess energy over the best structure of this formula in the dataset = 0.053 eV/atom

Geometry as Quantum ESPRESSO input:
```
&SYSTEM
  ibrav = 0, nat = 8, ntyp = 4
/
ATOMIC_SPECIES
Gd 157.25 Gd.upf
Tm 168.93 Tm.upf
N 14.01 N.upf
O 16.00 O.upf
ATOMIC_POSITIONS angstrom
Gd 0.0000 1.1247 0.0000
Gd 0.0000 5.7302 2.4180
Tm 1.9780 2.2847 2.4173
Tm 1.9780 4.5702 4.8353
N 1.9780 2.3445 4.8288
N 1.9780 4.5104 2.4108
O 0.0000 1.2819 2.4213
O 0.0000 5.5730 0.0033
CELL_PARAMETERS angstrom
3.9560 0.0000 0.0000
0.0000 6.8549 0.0000
0.0000 0.0000 4.8360
```

---

3.
## GdURe (PBE)

Data for a relaxed structure of GdURe. Values from VASP.

Summary:
magnetic moment = 0.63 μB per atom
total DFT energy (no corrections) = -26.774 eV for the cell shown
excess energy over the best structure of this formula in the dataset = 0.000 eV/atom

Geometry as Quantum ESPRESSO input:
```
&SYSTEM
  ibrav = 0, nat = 3, ntyp = 3
/
ATOMIC_SPECIES
Gd 157.25 Gd.upf
U 238.03 U.upf
Re 186.21 Re.upf
ATOMIC_POSITIONS angstrom
Gd 0.0000 0.0000 0.0000
U 3.3621 3.3621 3.3621
Re 5.0432 5.0432 5.0432
CELL_PARAMETERS angstrom
0.0000 3.3621 3.3621
3.3621 0.0000 3.3621
3.3621 3.3621 0.0000
```

---

4.
## NbSn2C (PBE)

Data for a relaxed structure of NbSn2C. Values from VASP.

Summary:
magnetic moment = 0.00 μB per atom
total DFT energy (no corrections) = -48.720 eV for the cell shown

Geometry as Quantum ESPRESSO input:
```
&SYSTEM
  ibrav = 0, nat = 8, ntyp = 3
/
ATOMIC_SPECIES
Nb 92.91 Nb.upf
Sn 118.71 Sn.upf
C 12.01 C.upf
ATOMIC_POSITIONS angstrom
Nb 0.0000 1.8817 3.7624
Nb 1.6296 0.9409 11.2873
Sn 0.0000 1.8817 8.9510
Sn 0.0000 1.8817 13.6236
Sn 1.6296 0.9409 1.4261
Sn 1.6296 0.9409 6.0988
C 0.0000 0.0000 0.0000
C 0.0000 0.0000 7.5249
CELL_PARAMETERS angstrom
3.2592 0.0000 0.0000
-1.6296 2.8226 0.0000
0.0000 0.0000 15.0498
```

---

5.
## FeCuSnSe3 (PBE)

Data for a relaxed structure of FeCuSnSe3. Values from VASP.

Summary:
magnetic moment = 0.37 μB per atom
total DFT energy (no corrections) = -54.266 eV for the cell shown

Geometry as Quantum ESPRESSO input:
```
&SYSTEM
  ibrav = 0, nat = 12, ntyp = 4
/
ATOMIC_SPECIES
Fe 55.84 Fe.upf
Cu 63.55 Cu.upf
Sn 118.71 Sn.upf
Se 78.96 Se.upf
ATOMIC_POSITIONS angstrom
Fe 0.0000 0.0000 0.0000
Fe 0.0000 0.0000 4.7544
Cu 1.8358 0.5735 7.1316
Cu 1.8358 -0.5735 2.3772
Sn 1.8358 3.4646 2.3772
Sn 1.8358 -3.4646 7.1316
Se 1.8358 5.6245 7.1316
Se 1.8358 1.6533 5.0128
Se 1.8358 1.6533 9.2504
Se 1.8358 -1.6533 0.2584
Se 1.8358 -1.6533 4.4960
Se 1.8358 -5.6245 2.3772
CELL_PARAMETERS angstrom
1.8358 -6.5933 0.0000
1.8358 6.5933 0.0000
0.0000 0.0000 9.5088
```

---

6.
## Li2MgScGa2Ni2 (PBE)

Data for a relaxed structure of Li2MgScGa2Ni2. Values from VASP.

Summary:
magnetic moment = 0.00 μB per atom
total DFT energy (no corrections) = -32.035 eV for the cell shown

Geometry as Quantum ESPRESSO input:
```
&SYSTEM
  ibrav = 0, nat = 8, ntyp = 5
/
ATOMIC_SPECIES
Li 6.94 Li.upf
Mg 24.30 Mg.upf
Sc 44.96 Sc.upf
Ga 69.72 Ga.upf
Ni 58.69 Ni.upf
ATOMIC_POSITIONS angstrom
Li 0.0000 2.1519 1.4469
Li 2.1519 0.0000 4.6564
Mg 0.0000 0.0000 0.0000
Sc 2.1519 2.1519 3.0516
Ga 0.0000 0.0000 3.0516
Ga 2.1519 2.1519 0.0000
Ni 0.0000 2.1519 4.5474
Ni 2.1519 0.0000 1.5559
CELL_PARAMETERS angstrom
4.3038 0.0000 0.0000
0.0000 4.3038 0.0000
0.0000 0.0000 6.1033
```

---

7.
## MgCu2SiSeS3 (PBE)

Data for a relaxed structure of MgCu2SiSeS3. Values from VASP.

Summary:
total DFT energy (no corrections) = -35.592 eV for the cell shown

Geometry as Quantum ESPRESSO input:
```
&SYSTEM
  ibrav = 0, nat = 8, ntyp = 5
/
ATOMIC_SPECIES
Mg 24.30 Mg.upf
Cu 63.55 Cu.upf
Si 28.09 Si.upf
Se 78.96 Se.upf
S 32.06 S.upf
ATOMIC_POSITIONS angstrom
Mg 0.0000 0.0000 0.0000
Cu 1.9201 1.8378 2.7450
Cu 1.9201 -1.8378 2.7450
Si 3.7681 0.0000 0.0338
Se 5.6098 0.0000 1.4077
S -0.0350 1.7333 3.9706
S 2.0605 0.0000 1.3560
S -0.0350 -1.7333 3.9706
CELL_PARAMETERS angstrom
3.8880 -3.8701 0.0000
3.8880 3.8701 0.0000
-3.8191 0.0000 5.2328
```

---

8.
## Tm3Ga5 (PBE)

Data for a relaxed structure of Tm3Ga5. Values from VASP.

Summary:
magnetic moment = 0.00 μB per atom
total DFT energy (no corrections) = -134.418 eV for the cell shown

Geometry as Quantum ESPRESSO input:
```
&SYSTEM
  ibrav = 0, nat = 32, ntyp = 2
/
ATOMIC_SPECIES
Tm 168.93 Tm.upf
Ga 69.72 Ga.upf
ATOMIC_POSITIONS angstrom
Tm 0.8293 2.3949 0.9184
Tm 1.6720 4.8816 3.6710
Tm 1.6720 9.4879 3.6710
Tm 3.9862 0.0918 0.6593
Tm 3.9862 4.6981 0.6593
Tm 4.8289 7.1848 3.9301
Tm 6.4876 2.3949 2.0934
Tm 7.3303 4.8816 5.3642
Tm 7.3303 9.4879 5.3642
Tm 9.6444 0.0918 2.3525
Tm 9.6444 4.6981 2.3525
Tm 10.4871 7.1848 5.1051
Ga 0.0652 2.3949 3.7749
Ga 1.0295 5.2869 0.7537
Ga 1.0295 9.0827 0.7537
Ga 2.2812 7.1848 5.3890
Ga 2.8113 7.1848 1.9716
Ga 2.8469 2.3949 4.9833
Ga 3.3770 2.3949 2.3773
Ga 4.6288 0.4970 3.7654
Ga 4.6288 4.2928 3.7654
Ga 5.5930 7.1848 0.7632
Ga 5.7234 2.3949 5.2603
Ga 6.6877 5.2869 2.2580
Ga 6.6877 9.0827 2.2580
Ga 7.9394 7.1848 3.6462
Ga 8.4696 7.1848 1.0401
Ga 8.5051 2.3949 4.0518
Ga 9.0353 2.3949 0.6345
Ga 10.2870 0.4970 5.2698
Ga 10.2870 4.2928 5.2698
Ga 11.2513 7.1848 2.2486
CELL_PARAMETERS angstrom
11.3165 0.0000 0.0000
0.0000 9.5797 0.0000
0.0000 0.0000 6.0234
```

---

9.
## SrLi2Hg (PBE)

Data for a relaxed structure of SrLi2Hg. Values from VASP.

Summary:
total DFT energy (no corrections) = -6.554 eV for the cell shown

Geometry as Quantum ESPRESSO input:
```
&SYSTEM
  ibrav = 0, nat = 4, ntyp = 3
/
ATOMIC_SPECIES
Sr 87.62 Sr.upf
Li 6.94 Li.upf
Hg 200.59 Hg.upf
ATOMIC_POSITIONS angstrom
Sr 0.0000 0.0000 0.0000
Li 3.7332 3.7332 3.7332
Li 5.5998 5.5998 5.5998
Hg 1.8666 1.8666 1.8666
CELL_PARAMETERS angstrom
0.0000 3.7332 3.7332
3.7332 0.0000 3.7332
3.7332 3.7332 0.0000
```

---

10.
## Nd2AsO4 (PBE)

Data for a relaxed structure of Nd2AsO4. Values from VASP.

Summary:
magnetic moment = 0.00 μB per atom
total DFT energy (no corrections) = -98.072 eV for the cell shown

Geometry as Quantum ESPRESSO input:
```
&SYSTEM
  ibrav = 0, nat = 14, ntyp = 3
/
ATOMIC_SPECIES
Nd 144.24 Nd.upf
As 74.92 As.upf
O 16.00 O.upf
ATOMIC_POSITIONS angstrom
Nd 0.0000 0.0000 0.0000
Nd 2.4280 2.4280 0.0000
Nd 2.4280 0.0000 2.4280
Nd 0.0000 2.4280 2.4280
As 3.6420 3.6420 3.6420
As 6.0700 6.0700 6.0700
O 2.4454 2.4454 2.4454
O 4.8387 4.8387 2.4454
O 4.8387 2.4454 4.8387
O 7.2667 4.8734 4.8734
O 2.4454 4.8387 4.8387
O 4.8734 7.2667 4.8734
O 4.8734 4.8734 7.2667
O 7.2667 7.2667 7.2667
CELL_PARAMETERS angstrom
0.0000 4.8560 4.8560
4.8560 0.0000 4.8560
4.8560 4.8560 0.0000
```

---

11.
## Dy2ErTm2Lu2Ni2Te2 (PBE)

Data for a relaxed structure of Dy2ErTm2Lu2Ni2Te2. Values from VASP.

Summary:
magnetic moment = 0.00 μB per atom
total DFT energy (no corrections) = -56.709 eV for the cell shown
excess energy over the best structure of this formula in the dataset = 0.000 eV/atom

Geometry as Quantum ESPRESSO input:
```
&SYSTEM
  ibrav = 0, nat = 11, ntyp = 6
/
ATOMIC_SPECIES
Dy 162.50 Dy.upf
Er 167.26 Er.upf
Tm 168.93 Tm.upf
Lu 174.97 Lu.upf
Ni 58.69 Ni.upf
Te 127.60 Te.upf
ATOMIC_POSITIONS angstrom
Dy 0.0000 2.2591 0.0000
Dy 0.0000 13.1424 0.0000
Er 0.0000 7.7007 2.5586
Tm 1.9135 -2.0738 3.3388
Tm 1.9135 2.0738 3.3388
Lu 1.9135 4.8514 1.3940
Lu 0.0000 2.8494 6.1260
Ni 1.9135 3.6449 -1.5247
Ni 0.0000 4.0558 3.2073
Te 1.9135 0.0000 1.0398
Te 0.0000 0.0000 4.7693
CELL_PARAMETERS angstrom
-1.9135 7.7007 4.7320
1.9135 -7.7007 4.7320
1.9135 7.7007 -4.7320
```